DFT (PBE) results for a relaxed structure of SrTc2P.

Results
Density of states at the Fermi level = 4.45 states/eV per cell
Symmetry = No. 216
Total energy = -25.395 eV/cell
Formation energy = 0.607 eV per atom

The structure in POSCAR format:
```
SrTc2P
1.0
0.0000 3.2765 3.2765
3.2765 0.0000 3.2765
3.2765 3.2765 0.0000
Sr Tc P
1 2 1
Direct
0.0000 0.0000 0.0000
0.2500 0.2500 0.2500
0.5000 0.5000 0.5000
0.7500 0.7500 0.7500
```